(1)
First-principles (GGA-PBE) data for a relaxed MnAl3 crystal, as listed in the Alexandria database.

abc: 2.8212 8.6687 4.6902
angles: 90.00 90.00 90.00
Last column: nearest neighbours and their distance in Å.
Space group Imm2 (No. 44)
Symmetry-distinct sites (fractional):
1 Mn 0.0000 0.0000 0.0000 (multiplicity 2)  10 Al 2.61-2.84, 2 Mn 2.82
2 Al 0.0000 0.2623 0.3347 (multiplicity 4)  3 Mn 2.61-2.76, 9 Al 2.67-2.82
3 Al 0.0000 0.5000 0.9732 (multiplicity 2)  4 Mn 2.63-2.84, 8 Al 2.67-2.82

- E_form (eV per atom) = -0.15
- crystal system = orthorhombic

***

(2)
First-principles (GGA-PBE) data for a relaxed CeLuMg4 crystal, as listed in the Alexandria database.

abc: 8.5072 8.5072 8.5072
angles: 90.00 90.00 90.00
Last column: nearest neighbours and their distance in Å.
Space group F-43m (No. 216)
Symmetry-distinct sites (fractional):
1 Ce 0.0000 0.0000 0.0000 (multiplicity 4)  12 Mg 3.53, 4 Lu 3.68
2 Lu 0.2500 0.2500 0.7500 (multiplicity 4)  12 Mg 3.53, 4 Ce 3.68
3 Mg 0.1248 0.1248 0.3752 (multiplicity 16)  6 Mg 3.00-3.01

- E_form (eV per atom) = -0.01
- crystal system = cubic

***

(3)
First-principles (GGA-PBE) data for a relaxed PmPaPO2 crystal, as listed in the Alexandria database.

abc: 3.7863 3.7863 12.2299
angles: 90.00 90.00 90.00
Last column: nearest neighbours and their distance in Å.
Space group I4mm (No. 107)
Symmetry-distinct sites (fractional):
1 Pm 0.0000 0.0000 0.0000 (multiplicity 2)  4 O 2.38
2 Pa 0.0000 0.0000 0.7184 (multiplicity 2)  4 O 2.25
3 P 0.0000 0.0000 0.3566 (multiplicity 2)  4 Pa 3.17, 4 Pm 3.20, 4 O 3.47
4 O 0.0000 0.5000 0.1185 (multiplicity 4)  2 Pa 2.25, 2 Pm 2.38

- uncorrected formation energy (eV/atom) = -2.625
- crystal system = tetragonal

***

(4)
First-principles (GGA-PBE) data for a relaxed LiVSe3 crystal, as listed in the Alexandria database.

abc: 3.1542 7.4882 13.0682
angles: 90.00 90.00 90.00
Last column: nearest neighbours and their distance in Å.
Space group Amm2 (No. 38)
Symmetry-distinct sites (fractional):
1 Li 0.0000 0.0000 0.0000 (multiplicity 2)  4 Se 2.56-2.57
2 V 0.5000 0.0000 0.6699 (multiplicity 2)  5 Se 2.28-2.43
3 Se 0.0000 0.2309 0.6210 (multiplicity 4)  2 V 2.43, 1 Li 2.56
4 Se 0.5000 0.0000 0.8442 (multiplicity 2)  1 V 2.28

- polymorph energy (0 for the lowest one) (kJ per mole of atoms) = 9.9
- uncorrected formation energy (eV/atom) = -0.640
- crystal system = orthorhombic

***

| no. | mass density (g cm⁻³) |
| --- | --- |
| 1 | 3.934 |
| 2 | 4.448 |
| 3 | 8.316 |
| 4 | 3.172 |